Entry 1:
This record from Alexandria describes an optimized crystal structure of BaNa2Sn. The functional is PBE-GGA.

Unit cell a=5.115 b=5.115 c=5.585 alpha=90.00 beta=90.00 gamma=90.00
Space group P4/mmm (No. 123)
One atom of each set of equivalent atoms:
Ba 0.000 0.000 0.000 x1
Na 0.000 0.500 0.500 x2
Sn 0.500 0.500 0.000 x1

Output
Fermi-level density of states   4.295 states/eV/cell
Volume   146 Å³ per cell
ΔH_f (0 K)   -0.17 eV per atom

***

Entry 2:
This record from Alexandria describes an optimized crystal structure of TmZrOsRu. The functional is PBE-GGA.

Unit cell a=3.309 b=3.309 c=6.680 alpha=90.00 beta=90.00 gamma=90.00
Space group P4mm (No. 99)
One atom of each set of equivalent atoms:
Tm 0.000 0.000 0.000 x1
Zr 0.000 0.000 0.500 x1
Os 0.500 0.500 0.736 x1
Ru 0.500 0.500 0.262 x1

Output
Fermi-level density of states   2.696 states/eV/cell
Volume   73 Å³ per cell
ΔH_f (0 K)   -0.48 eV per atom
Energy above the lowest structure with this stoichiometry   0.000 eV per formula unit

***

Entry 3:
This record from Alexandria describes an optimized crystal structure of Li3Pm3HfSe8. The functional is PBE-GGA.

Unit cell a=8.2492 b=8.2492 c=19.4971 alpha=90.00 beta=90.00 gamma=120.00
Space group R-3m (No. 166, hexagonal axes)
One atom of each set of equivalent atoms:
Li 0.0000 0.5000 0.0000 x9
Pm 0.0000 0.5000 0.5000 x9
Hf 0.0000 0.0000 0.5000 x3
Se 0.0000 0.0000 0.2534 x6
Se 0.0250 0.5125 0.2483 x18

Output
Volume   1149 Å³ per cell
Raw formation energy   -1.604 eV/atom

***

Entry 4:
This record from Alexandria describes an optimized crystal structure of CaAl2In. The functional is PBE-GGA.

Unit cell a=3.3691 b=3.3691 c=29.7028 alpha=90.00 beta=90.00 gamma=120.00
Space group R-3m (No. 166, hexagonal axes)
One atom of each set of equivalent atoms:
Ca 0.0000 0.0000 0.0000 x3
Al 0.0000 0.0000 0.2479 x6
In 0.0000 0.0000 0.5000 x3

Output
Fermi-level density of states   8.839 states/eV/cell
Volume   292 Å³ per cell
ΔH_f (0 K)   0.14 eV per atom

***

Entry 5:
This record from Alexandria describes an optimized crystal structure of LaBe2CoNi. The functional is PBE-GGA.

Unit cell a=4.133 b=4.133 c=4.616 alpha=90.00 beta=90.00 gamma=90.00
Space group P4/mmm (No. 123)
One atom of each set of equivalent atoms:
La 0.000 0.000 0.000 x1
Be 0.000 0.500 0.500 x2
Co 0.500 0.500 0.000 x1
Ni 0.500 0.500 0.500 x1

Output
Fermi-level density of states   3.027 states/eV/cell
Volume   79 Å³ per cell
ΔH_f (0 K)   0.09 eV per atom

***

Entry 6:
This record from Alexandria describes an optimized crystal structure of TiSiPd3. The functional is PBE-GGA.

Unit cell a=4.483 b=4.483 c=4.483 alpha=90.00 beta=90.00 gamma=90.00
Space group Pm-3m (No. 221)
One atom of each set of equivalent atoms:
Ti 0.000 0.000 0.000 x1
Si 0.500 0.500 0.500 x1
Pd 0.000 0.500 0.500 x3

Output
Fermi-level density of states   5.684 states/eV/cell
Volume   90 Å³ per cell
Raw formation energy   0.020 eV/atom
Energy above the lowest structure with this stoichiometry   0.000 eV per formula unit

***

Entry 7:
This record from Alexandria describes an optimized crystal structure of Tb4Er3TmSe8. The functional is PBE-GGA.

Unit cell a=8.1062 b=8.1062 c=20.0199 alpha=90.00 beta=90.00 gamma=120.00
Space group R-3m (No. 166, hexagonal axes)
One atom of each set of equivalent atoms:
Tb 0.0000 0.0000 0.0000 x3
Tb 0.0000 0.5000 0.0000 x9
Er 0.0000 0.5000 0.5000 x9
Tm 0.0000 0.0000 0.5000 x3
Se 0.0000 0.0000 0.2480 x6
Se 0.0011 0.5005 0.2477 x18

Output
Fermi-level density of states   30.351 states/eV/cell
Volume   1139 Å³ per cell
Raw formation energy   -1.726 eV/atom

***

Entry 8:
This record from Alexandria describes an optimized crystal structure of CrInAs2. The functional is PBE-GGA.

Unit cell a=3.176 b=3.176 c=7.319 alpha=90.00 beta=90.00 gamma=90.00
Space group P4mm (No. 99)
One atom of each set of equivalent atoms:
Cr 0.000 0.000 0.000 x1
In 0.500 0.500 0.272 x1
As 0.000 0.000 0.611 x1
As 0.500 0.500 0.858 x1

Output
Fermi-level density of states   2.428 states/eV/cell
Volume   74 Å³ per cell
ΔH_f (0 K)   0.24 eV per atom

***

Entry 9:
This record from Alexandria describes an optimized crystal structure of GaCo2Mo. The functional is PBE-GGA.

Unit cell a=6.545 b=6.545 c=5.227 alpha=90.00 beta=90.00 gamma=90.00
Space group I-42d (No. 122)
One atom of each set of equivalent atoms:
Ga 0.000 0.000 0.000 x4
Co 0.238 0.250 0.625 x8
Mo 0.000 0.000 0.500 x4

Output
Fermi-level density of states   30.547 states/eV/cell
Volume   224 Å³ per cell
ΔH_f (0 K)   0.47 eV per atom

***

Entry 10:
This record from Alexandria describes an optimized crystal structure of CuPbSe3. The functional is PBE-GGA.

Unit cell a=4.890 b=4.890 c=4.890 alpha=90.00 beta=90.00 gamma=90.00
Space group Pm-3m (No. 221)
One atom of each set of equivalent atoms:
Cu 0.000 0.000 0.000 x1
Pb 0.500 0.500 0.500 x1
Se 0.000 0.000 0.500 x3

Output
Fermi-level density of states   3.485 states/eV/cell
Volume   117 Å³ per cell
Raw formation energy   0.043 eV/atom
Energy above the lowest structure with this stoichiometry   0.000 eV per formula unit

***

Entry 11:
This record from Alexandria describes an optimized crystal structure of PmHo3Tl3. The functional is PBE-GGA.

Unit cell a=9.365 b=9.365 c=9.365 alpha=90.00 beta=90.00 gamma=90.00
Space group P2_13 (No. 198)
One atom of each set of equivalent atoms:
Pm 0.070 0.430 0.570 x4
Ho 0.081 0.581 0.919 x4
Ho 0.178 0.178 0.178 x4
Ho 0.180 0.820 0.320 x4
Tl 0.001 0.259 0.883 x12

Output
Fermi-level density of states   35.194 states/eV/cell
Volume   821 Å³ per cell
ΔH_f (0 K)   -0.25 eV per atom
Energy above the lowest structure with this stoichiometry   0.000 eV per formula unit

***

Entry 12:
This record from Alexandria describes an optimized crystal structure of LiSiSe2. The functional is PBE-GGA.

Unit cell a=3.959 b=3.379 c=6.639 alpha=90.00 beta=100.32 gamma=90.00
Space group P2/m (No. 10)
One atom of each set of equivalent atoms:
Li 0.000 0.000 0.000 x1
Si 0.000 0.000 0.500 x1
Se 0.256 0.500 0.744 x2

Output
Fermi-level density of states   0.584 states/eV/cell
Volume   87 Å³ per cell
Raw formation energy   -0.344 eV/atom

***

Entry 13:
This record from Alexandria describes an optimized crystal structure of Be4ZnPd5. The functional is PBE-GGA.

Unit cell a=2.807 b=2.807 c=15.175 alpha=90.00 beta=90.00 gamma=90.00
Space group P4/mmm (No. 123)
One atom of each set of equivalent atoms:
Be 0.000 0.000 0.095 x2
Be 0.000 0.000 0.286 x2
Zn 0.000 0.000 0.500 x1
Pd 0.500 0.500 0.000 x1
Pd 0.500 0.500 0.188 x2
Pd 0.500 0.500 0.377 x2

Output
Fermi-level density of states   2.370 states/eV/cell
Volume   120 Å³ per cell
ΔH_f (0 K)   -0.59 eV per atom

***

Entry 14:
This record from Alexandria describes an optimized crystal structure of NaSr2SiSb. The functional is PBE-GGA.

Unit cell a=6.296 b=6.296 c=5.437 alpha=90.00 beta=90.00 gamma=90.00
Space group P4/mmm (No. 123)
One atom of each set of equivalent atoms:
Na 0.000 0.000 0.000 x1
Sr 0.000 0.500 0.500 x2
Si 0.500 0.500 0.000 x1
Sb 0.500 0.500 0.500 x1

Output
Fermi-level density of states   5.211 states/eV/cell
Volume   215 Å³ per cell
Raw formation energy   0.066 eV/atom

***

Entry 15:
This record from Alexandria describes an optimized crystal structure of Sc3AlSi2. The functional is PBE-GGA.

Unit cell a=3.865 b=4.076 c=14.317 alpha=90.00 beta=90.00 gamma=90.00
Space group Immm (No. 71)
One atom of each set of equivalent atoms:
Sc 0.000 0.000 0.000 x2
Sc 0.000 0.500 0.325 x4
Al 0.000 0.000 0.500 x2
Si 0.000 0.500 0.133 x4

Output
Fermi-level density of states   6.852 states/eV/cell
Volume   226 Å³ per cell
Raw formation energy   -0.690 eV/atom

***

Entry 16:
This record from Alexandria describes an optimized crystal structure of Ce2Ho3S4. The functional is PBE-GGA.

Unit cell a=12.893 b=3.872 c=9.615 alpha=90.00 beta=118.69 gamma=90.00
Space group C2/m (No. 12)
One atom of each set of equivalent atoms:
Ce 0.097 0.000 0.406 x4
Ho 0.000 0.500 0.000 x2
Ho 0.205 0.500 0.804 x4
S 0.104 0.000 0.905 x4
S 0.196 0.500 0.292 x4

Output
Fermi-level density of states   26.069 states/eV/cell
Volume   421 Å³ per cell
Raw formation energy   -1.721 eV/atom

***

Entry 17:
This record from Alexandria describes an optimized crystal structure of GaP2PbO. The functional is PBE-GGA.

Unit cell a=5.492 b=5.492 c=4.568 alpha=90.00 beta=90.00 gamma=90.00
Space group P4/mmm (No. 123)
One atom of each set of equivalent atoms:
Ga 0.000 0.000 0.000 x1
P 0.000 0.500 0.500 x2
Pb 0.500 0.500 0.500 x1
O 0.500 0.500 0.000 x1

Output
Fermi-level density of states   4.265 states/eV/cell
Volume   138 Å³ per cell
Raw formation energy   0.826 eV/atom
Energy above the lowest structure with this stoichiometry   3.284 eV per formula unit

***

Entry 18:
This record from Alexandria describes an optimized crystal structure of Tb3Tm6Tl. The functional is PBE-GGA.

Unit cell a=10.877 b=18.677 c=6.043 alpha=90.00 beta=90.00 gamma=90.00
Space group Cmc2_1 (No. 36)
One atom of each set of equivalent atoms:
Tb 0.000 0.108 0.000 x4
Tb 0.163 0.396 0.419 x8
Tm 0.000 0.234 0.617 x4
Tm 0.000 0.444 0.900 x4
Tm 0.161 0.051 0.479 x8
Tm 0.229 0.215 0.289 x8
Tl 0.000 0.289 0.093 x4

Output
Fermi-level density of states   52.677 states/eV/cell
Volume   1228 Å³ per cell
ΔH_f (0 K)   0.04 eV per atom
Energy above the lowest structure with this stoichiometry   0.190 eV per formula unit

***

Entry 19:
This record from Alexandria describes an optimized crystal structure of Be3Te5. The functional is PBE-GGA.

Unit cell a=7.604 b=17.586 c=3.729 alpha=90.00 beta=90.00 gamma=90.00
Space group Cmmm (No. 65)
One atom of each set of equivalent atoms:
Be 0.000 0.000 0.000 x2
Be 0.000 0.250 0.500 x4
Te 0.000 0.500 0.000 x2
Te 0.206 0.000 0.500 x4
Te 0.250 0.250 0.000 x4

Output
Fermi-level density of states   12.082 states/eV/cell
Volume   499 Å³ per cell
Raw formation energy   0.421 eV/atom
Energy above the lowest structure with this stoichiometry   3.512 eV per formula unit

***

Entry 20:
This record from Alexandria describes an optimized crystal structure of Pr6CdSi2. The functional is PBE-GGA.

Unit cell a=10.057 b=10.183 c=10.562 alpha=90.00 beta=90.00 gamma=90.00
Space group Immm (No. 71)
One atom of each set of equivalent atoms:
Pr 0.000 0.205 0.245 x8
Pr 0.204 0.500 0.178 x8
Pr 0.226 0.321 0.500 x8
Cd 0.000 0.000 0.000 x2
Cd 0.000 0.000 0.500 x2
Si 0.000 0.369 0.000 x4
Si 0.000 0.500 0.387 x4

Output
Fermi-level density of states   36.235 states/eV/cell
Volume   1082 Å³ per cell
Raw formation energy   -0.407 eV/atom

***

Entry 21:
This record from Alexandria describes an optimized crystal structure of Li3Pa2WN6. The functional is PBE-GGA.

Unit cell a=5.771 b=10.272 c=5.337 alpha=90.00 beta=107.79 gamma=90.00
Space group C2/m (No. 12)
One atom of each set of equivalent atoms:
Li 0.000 0.000 0.000 x2
Li 0.000 0.374 0.000 x4
Pa 0.000 0.168 0.500 x4
W 0.000 0.500 0.500 x2
N 0.215 0.349 0.710 x8
N 0.246 0.000 0.715 x4

Output
Fermi-level density of states   7.337 states/eV/cell
Volume   301 Å³ per cell
Raw formation energy   -1.007 eV/atom

***

Entry 22:
This record from Alexandria describes an optimized crystal structure of Na2Hg3IO6. The functional is PBE-GGA.

Unit cell a=6.104 b=9.934 c=6.299 alpha=90.00 beta=91.36 gamma=90.00
Space group C2/m (No. 12)
One atom of each set of equivalent atoms:
Na 0.000 0.162 0.000 x4
Hg 0.000 0.000 0.500 x2
Hg 0.000 0.303 0.500 x4
I 0.000 0.500 0.000 x2
O 0.131 0.359 0.181 x8
O 0.241 0.000 0.155 x4

Output
Fermi-level density of states   4.849 states/eV/cell
Volume   382 Å³ per cell
Raw formation energy   -0.609 eV/atom

***

Entry 23:
This record from Alexandria describes an optimized crystal structure of GaPb3. The functional is PBE-GGA.

Unit cell a=7.784 b=7.784 c=7.784 alpha=90.00 beta=90.00 gamma=90.00
Space group Fm-3m (No. 225)
One atom of each set of equivalent atoms:
Ga 0.000 0.000 0.000 x4
Pb 0.000 0.000 0.500 x4
Pb 0.250 0.250 0.250 x8

Output
Fermi-level density of states   10.978 states/eV/cell
Volume   472 Å³ per cell
ΔH_f (0 K)   0.09 eV per atom
Energy above the lowest structure with this stoichiometry   0.269 eV per formula unit